Entry 1:
Crystalline Sr2LiMn2 at its relaxed geometry. Source: Alexandria via LeMat-Bulk, functional PBE-GGA. Values from VASP.

```
&SYSTEM
  ibrav = 0, nat = 10, ntyp = 3
/
ATOMIC_SPECIES
Sr 87.62 Sr.upf
Li 6.94 Li.upf
Mn 54.94 Mn.upf
CELL_PARAMETERS angstrom
7.9625 0.0000 0.0000
0.0000 7.9625 0.0000
0.0000 0.0000 4.7838
ATOMIC_POSITIONS angstrom
Sr 1.3951 2.5862 0.0000
Sr 2.5862 6.5674 0.0000
Sr 5.3763 1.3951 0.0000
Sr 6.5674 5.3763 0.0000
Li 0.0000 0.0000 2.3919
Li 3.9813 3.9813 2.3919
Mn 0.9014 4.8826 2.3919
Mn 3.0799 0.9014 2.3919
Mn 4.8826 7.0611 2.3919
Mn 7.0611 3.0799 2.3919
```

Output
- calculated formation energy (meV/atom) = 518
- SG = No. 127
- calculated volume (Å³/atom) = 30.33
- raw total energy (eV per atom) = -4.205
- ΔE to the lowest computed polymorph (meV/atom) = 0
- density (Mg/m³) = 3.20



Entry 2:
Crystalline SrLiMn3 at its relaxed geometry. Source: Alexandria via LeMat-Bulk, functional PBE-GGA. Values from VASP.

```
&SYSTEM
  ibrav = 0, nat = 5, ntyp = 3
/
ATOMIC_SPECIES
Sr 87.62 Sr.upf
Li 6.94 Li.upf
Mn 54.94 Mn.upf
CELL_PARAMETERS angstrom
4.7598 0.0000 0.0000
0.0000 4.7598 0.0000
0.0000 0.0000 4.7598
ATOMIC_POSITIONS angstrom
Sr 0.0000 0.0000 0.0000
Li 2.3799 2.3799 2.3799
Mn 0.0000 2.3799 2.3799
Mn 2.3799 0.0000 2.3799
Mn 2.3799 2.3799 0.0000
```

Output
- calculated formation energy (meV/atom) = 866
- SG = No. 221
- calculated volume (Å³/atom) = 21.57
- raw total energy (eV per atom) = -5.354
- ΔE to the lowest computed polymorph (meV/atom) = 0
- density (Mg/m³) = 3.99



Entry 3:
Crystalline SrLi3Mn at its relaxed geometry. Source: Alexandria via LeMat-Bulk, functional PBE-GGA. Values from VASP.

```
&SYSTEM
  ibrav = 0, nat = 5, ntyp = 3
/
ATOMIC_SPECIES
Sr 87.62 Sr.upf
Li 6.94 Li.upf
Mn 54.94 Mn.upf
CELL_PARAMETERS angstrom
5.1549 0.0000 0.0000
0.0000 5.1549 0.0000
0.0000 0.0000 5.1549
ATOMIC_POSITIONS angstrom
Sr 0.0000 0.0000 0.0000
Li 0.0000 2.5775 2.5775
Li 2.5775 0.0000 2.5775
Li 2.5775 2.5775 0.0000
Mn 2.5775 2.5775 2.5775
```

Output
- calculated formation energy (meV/atom) = 436
- SG = No. 221
- calculated volume (Å³/atom) = 27.40
- raw total energy (eV per atom) = -2.883
- ΔE to the lowest computed polymorph (meV/atom) = 0
- density (Mg/m³) = 1.98



Entry 4:
Crystalline Sr2Li2Mn at its relaxed geometry. Source: Alexandria via LeMat-Bulk, functional PBE-GGA. Values from VASP.

```
&SYSTEM
  ibrav = 0, nat = 10, ntyp = 3
/
ATOMIC_SPECIES
Sr 87.62 Sr.upf
Li 6.94 Li.upf
Mn 54.94 Mn.upf
CELL_PARAMETERS angstrom
8.9658 0.0000 0.0000
0.0000 8.9658 0.0000
0.0000 0.0000 4.3591
ATOMIC_POSITIONS angstrom
Sr 1.4831 2.9998 0.0000
Sr 2.9998 7.4827 0.0000
Sr 5.9660 1.4831 0.0000
Sr 7.4827 5.9660 0.0000
Li 1.1888 5.6717 2.1796
Li 3.2941 1.1888 2.1796
Li 5.6717 7.7770 2.1796
Li 7.7770 3.2941 2.1796
Mn 0.0000 0.0000 0.0000
Mn 4.4829 4.4829 0.0000
```

Output
- calculated formation energy (meV/atom) = 543
- SG = No. 127
- calculated volume (Å³/atom) = 35.04
- raw total energy (eV per atom) = -2.730
- ΔE to the lowest computed polymorph (meV/atom) = 223
- density (Mg/m³) = 2.31



Entry 5:
Crystalline SrLiMn3 at its relaxed geometry. Source: Alexandria via LeMat-Bulk, functional PBE-GGA. Values from VASP.

```
&SYSTEM
  ibrav = 0, nat = 5, ntyp = 3
/
ATOMIC_SPECIES
Sr 87.62 Sr.upf
Li 6.94 Li.upf
Mn 54.94 Mn.upf
CELL_PARAMETERS angstrom
5.5267 0.0000 0.0000
0.0000 5.5267 0.0000
0.0000 0.0000 5.5267
ATOMIC_POSITIONS angstrom
Sr 0.0000 0.0000 0.0000
Li 2.7634 2.7634 2.7634
Mn 0.0000 0.0000 2.7634
Mn 0.0000 2.7634 0.0000
Mn 2.7634 0.0000 0.0000
```

Output
- calculated formation energy (meV/atom) = 1785
- SG = No. 221
- calculated volume (Å³/atom) = 33.76
- raw total energy (eV per atom) = -4.436
- ΔE to the lowest computed polymorph (meV/atom) = 918
- density (Mg/m³) = 2.55



Entry 6:
Crystalline SrLi4Mn at its relaxed geometry. Source: Alexandria via LeMat-Bulk, functional PBE-GGA. Values from VASP.

```
&SYSTEM
  ibrav = 0, nat = 6, ntyp = 3
/
ATOMIC_SPECIES
Sr 87.62 Sr.upf
Li 6.94 Li.upf
Mn 54.94 Mn.upf
CELL_PARAMETERS angstrom
0.0000 4.1172 4.1172
4.1172 0.0000 4.1172
4.1172 4.1172 0.0000
ATOMIC_POSITIONS angstrom
Sr 0.0000 0.0000 0.0000
Li 5.1208 3.1136 3.1136
Li 3.1136 5.1208 3.1136
Li 3.1136 3.1136 5.1208
Li 5.1208 5.1208 5.1208
Mn 2.0586 2.0586 2.0586
```

Output
- calculated formation energy (meV/atom) = 258
- SG = No. 216
- calculated volume (Å³/atom) = 23.26
- raw total energy (eV per atom) = -2.827
- density (Mg/m³) = 2.03



Entry 7:
Crystalline Sr2LiMn2 at its relaxed geometry. Source: Alexandria via LeMat-Bulk, functional PBE-GGA. Values from VASP.

```
&SYSTEM
  ibrav = 0, nat = 10, ntyp = 3
/
ATOMIC_SPECIES
Sr 87.62 Sr.upf
Li 6.94 Li.upf
Mn 54.94 Mn.upf
CELL_PARAMETERS angstrom
6.2231 0.0000 0.0000
0.0000 6.2231 0.0000
0.0000 0.0000 8.1005
ATOMIC_POSITIONS angstrom
Sr 0.0000 3.1116 2.0251
Sr 0.0000 3.1116 6.0754
Sr 3.1116 0.0000 2.0251
Sr 3.1116 0.0000 6.0754
Li 0.0000 0.0000 0.0000
Li 3.1116 3.1116 4.0502
Mn 0.0000 0.0000 2.8462
Mn 0.0000 0.0000 5.2542
Mn 3.1116 3.1116 1.2040
Mn 3.1116 3.1116 6.8965
```

Output
- calculated formation energy (meV/atom) = 682
- SG = No. 139
- calculated volume (Å³/atom) = 31.37
- raw total energy (eV per atom) = -4.041
- ΔE to the lowest computed polymorph (meV/atom) = 164
- density (Mg/m³) = 3.09



Entry 8:
Crystalline Sr4LiMn at its relaxed geometry. Source: Alexandria via LeMat-Bulk, functional PBE-GGA. Values from VASP.

```
&SYSTEM
  ibrav = 0, nat = 6, ntyp = 3
/
ATOMIC_SPECIES
Sr 87.62 Sr.upf
Li 6.94 Li.upf
Mn 54.94 Mn.upf
CELL_PARAMETERS angstrom
0.0000 5.2502 5.2502
5.2502 0.0000 5.2502
5.2502 5.2502 0.0000
ATOMIC_POSITIONS angstrom
Sr 1.3082 1.3082 1.3082
Sr 3.9420 3.9420 1.3082
Sr 3.9420 1.3082 3.9420
Sr 1.3082 3.9420 3.9420
Li 5.2502 5.2502 5.2502
Mn 7.8754 7.8754 7.8754
```

Output
- calculated formation energy (meV/atom) = 715
- SG = No. 216
- calculated volume (Å³/atom) = 48.24
- raw total energy (eV per atom) = -2.254
- density (Mg/m³) = 2.37